Entry 1:
Computed, not measured: a relaxed Ba2AgHg6Pd crystal at the GGA-PBE level of DFT.

Its total energy is -1.638 eV per atom. The formation energy from the elements is -0.268 eV/atom.

The structure belongs to space group Fm-3m (No. 225); the cell edges are 10.755, 10.755 and 10.755 Å and the angles 90.00°, 90.00° and 90.00°. The inequivalent atoms are Ba at (0.250, 0.250, 0.250), Ag at (0.000, 0.000, 0.000), Hg at (0.000, 0.000, 0.253) and Pd at (0.000, 0.000, 0.500).


Entry 2:
Computed, not measured: a relaxed BaPmAgHg crystal at the GGA-PBE level of DFT.

Its total energy is -2.711 eV per atom. The formation energy from the elements is -0.254 eV/atom.

The structure belongs to space group F-43m (No. 216); the cell edges are 7.915, 7.915 and 7.915 Å and the angles 90.00°, 90.00° and 90.00°. The inequivalent atoms are Ba at (0.000, 0.000, 0.000), Pm at (0.000, 0.000, 0.500), Ag at (0.250, 0.250, 0.750) and Hg at (0.250, 0.250, 0.250).